No. 1
A plane-wave DFT calculation with PBEsol was carried out for a relaxed RbCaRe2Bi crystal.

Values from the calculation:
total magnetization	2.832	Bohr magnetons per cell
uncorrected energy	-21.57	eV per cell

a = 4.9429 Å, b = 4.9429 Å, c = 5.2288 Å
α = 90.00°, β = 90.00°, γ = 90.00°
With the nearest neighbours (Å) after each atom.
Fractional positions:
Re  0.0000  0.5000  0.0000  2 Ca 2.47
Re  0.5000  0.0000  0.0000  2 Ca 2.47
Ca  0.0000  0.0000  0.0000  4 Re 2.47, 2 Rb 2.61
Bi  0.5000  0.5000  0.5000  4 Rb 3.50, 8 Re 3.60
Rb  0.0000  0.0000  0.5000  2 Ca 2.61

No. 2
A plane-wave DFT calculation with PBEsol was carried out for a relaxed KNbAl2 crystal.

Values from the calculation:
total magnetization	0.002	Bohr magnetons per cell
uncorrected energy	-17.08	eV per cell

a = 4.8743 Å, b = 4.8743 Å, c = 4.8743 Å
α = 60.00°, β = 60.00°, γ = 60.00°
With the nearest neighbours (Å) after each atom.
Fractional positions:
Nb  0.5000  0.5000  0.5000  8 Al 2.98
K  0.0000  0.0000  0.0000  8 Al 2.98
Al  0.2500  0.2500  0.2500  4 Nb 2.98, 4 K 2.98
Al  0.7500  0.7500  0.7500  4 K 2.98, 4 Nb 2.98

No. 3
A plane-wave DFT calculation with PBEsol was carried out for a relaxed Zr2FeCo crystal.

Values from the calculation:
excess energy over the best structure of this formula in the dataset	298	meV per atom
total magnetization	2.350	Bohr magnetons per cell
uncorrected energy	-34.73	eV per cell

a = 4.3966 Å, b = 4.3966 Å, c = 4.3966 Å
α = 60.00°, β = 60.00°, γ = 60.00°
With the nearest neighbours (Å) after each atom.
Fractional positions:
Co  0.5000  0.5000  0.5000  4 Zr 2.69, 4 Fe 2.69
Fe  0.2500  0.2500  0.2500  4 Zr 2.69, 4 Co 2.69
Zr  0.0000  0.0000  0.0000  4 Fe 2.69, 4 Zr 2.69
Zr  0.7500  0.7500  0.7500  4 Zr 2.69, 4 Co 2.69

no.,formation energy (eV per atom)
1,2.508
2,0.765
3,0.038